Entry 1:
Density functional theory data (PBE) for a geometry-optimized ZrTaNiSn2 structure.

Cell and atoms, written as CIF:
```
data_ZrTaNiSn2
_space_group_name_H-M_alt 'P 4/m m m'
_space_group_IT_number 123
_space_group_name_Hall '-P 4 2'
_cell_length_a 4.768
_cell_length_b 4.768
_cell_length_c 4.768
_cell_angle_alpha 90.00
_cell_angle_beta 90.00
_cell_angle_gamma 90.00
loop_
_atom_site_label
_atom_site_type_symbol
_atom_site_fract_x
_atom_site_fract_y
_atom_site_fract_z
_atom_site_occupancy
Zr1 Zr 0.000 0.000 0.000 1
Ta1 Ta 0.500 0.500 0.000 1
Ni1 Ni 0.500 0.500 0.500 1
Sn1 Sn 0.000 0.500 0.500 1
```

Calculated values
Total magnetization ... 0.000 μB/f.u.
Theoretical density ... 8.7 Mg/m³
Uncorrected energy ... -6.42 eV per atom
Crystal system ... tetragonal
DFT formation energy ... 420 meV per atom

=====

Entry 2:
Density functional theory data (PBE) for a geometry-optimized AcPm5YHo2 structure.

Cell and atoms, written as CIF:
```
data_AcPm5YHo2
_space_group_name_H-M_alt 'C m c 21'
_space_group_IT_number 36
_cell_length_a 5.568
_cell_length_b 24.235
_cell_length_c 9.519
_cell_angle_alpha 90.00
_cell_angle_beta 90.00
_cell_angle_gamma 90.00
loop_
_space_group_symop_operation_xyz
'x,y,z'
'-x,-y,z+1/2'
'-x,y,z'
'x,-y,z+1/2'
'x+1/2,y+1/2,z'
'-x+1/2,-y+1/2,z+1/2'
'-x+1/2,y+1/2,z'
'x+1/2,-y+1/2,z+1/2'
loop_
_atom_site_label
_atom_site_type_symbol
_atom_site_fract_x
_atom_site_fract_y
_atom_site_fract_z
_atom_site_occupancy
Ac1 Ac 0.000 0.102 0.000 1
Pm1 Pm 0.000 0.025 0.328 1
Pm2 Pm 0.000 0.106 0.606 1
Pm3 Pm 0.000 0.189 0.298 1
Pm4 Pm 0.000 0.241 0.933 1
Pm5 Pm 0.000 0.491 0.109 1
Y1 Y 0.000 0.264 0.608 1
Ho1 Ho 0.000 0.326 0.247 1
Ho2 Ho 0.000 0.388 0.862 1
```

Calculated values
Total magnetization ... 0.000 μB/f.u.
Theoretical density ... 7.1 Mg/m³
Uncorrected energy ... -4.68 eV per atom
Crystal system ... orthorhombic
DFT formation energy ... 146 meV per atom

=====

Entry 3:
Density functional theory data (PBE) for a geometry-optimized LiFe2Rh4 structure.

Cell and atoms, written as CIF:
```
data_LiFe2Rh4
_space_group_name_H-M_alt 'I 4/m m m'
_space_group_IT_number 139
_space_group_name_Hall '-I 4 2'
_cell_length_a 5.773
_cell_length_b 5.773
_cell_length_c 5.876
_cell_angle_alpha 90.00
_cell_angle_beta 90.00
_cell_angle_gamma 90.00
loop_
_atom_site_label
_atom_site_type_symbol
_atom_site_fract_x
_atom_site_fract_y
_atom_site_fract_z
_atom_site_occupancy
Li1 Li 0.000 0.000 0.000 1
Fe1 Fe 0.000 0.500 0.000 1
Rh1 Rh 0.250 0.250 0.250 1
```

Calculated values
Total magnetization ... 6.533 μB/f.u.
Theoretical density ... 9.0 Mg/m³
Uncorrected energy ... -6.73 eV per atom
Crystal system ... tetragonal
DFT formation energy ... 159 meV per atom

=====

Entry 4:
Density functional theory data (PBE) for a geometry-optimized LiCoH structure.

Cell and atoms, written as CIF:
```
data_LiCoH
_space_group_name_H-M_alt 'P 1 21/c 1'
_space_group_IT_number 14
_cell_length_a 4.672
_cell_length_b 4.228
_cell_length_c 5.161
_cell_angle_alpha 90.00
_cell_angle_beta 90.53
_cell_angle_gamma 90.00
loop_
_space_group_symop_operation_xyz
'x,y,z'
'-x,-y,-z'
'-x,y+1/2,-z+1/2'
'x,-y+1/2,z+1/2'
loop_
_atom_site_label
_atom_site_type_symbol
_atom_site_fract_x
_atom_site_fract_y
_atom_site_fract_z
_atom_site_occupancy
Li1 Li 0.090 0.244 0.376 1
Co1 Co 0.433 0.748 0.375 1
H1 H 0.287 0.545 0.628 1
```

Calculated values
Total magnetization ... 1.105 μB/f.u.
Theoretical density ... 4.4 Mg/m³
Uncorrected energy ... -4.18 eV per atom
Crystal system ... monoclinic

=====

Entry 5:
Density functional theory data (PBE) for a geometry-optimized FeCo2HRh structure.

Cell and atoms, written as CIF:
```
data_FeCo2HRh
_space_group_name_H-M_alt 'P 4/m m m'
_space_group_IT_number 123
_space_group_name_Hall '-P 4 2'
_cell_length_a 3.676
_cell_length_b 3.676
_cell_length_c 3.771
_cell_angle_alpha 90.00
_cell_angle_beta 90.00
_cell_angle_gamma 90.00
loop_
_atom_site_label
_atom_site_type_symbol
_atom_site_fract_x
_atom_site_fract_y
_atom_site_fract_z
_atom_site_occupancy
Fe1 Fe 0.000 0.000 0.000 1
Co1 Co 0.000 0.500 0.500 1
H1 H 0.500 0.500 0.500 1
Rh1 Rh 0.500 0.500 0.000 1
```

Calculated values
Energy above the most stable polymorph in this dataset ... 0.00 eV per formula unit
Total magnetization ... 6.462 μB/f.u.
Theoretical density ... 9.0 Mg/m³
Uncorrected energy ... -6.66 eV per atom
Crystal system ... tetragonal

=====

Entry 6:
Density functional theory data (PBE) for a geometry-optimized CeCdNi structure.

Cell and atoms, written as CIF:
```
data_CeCdNi
_space_group_name_H-M_alt 'P -6 m 2'
_space_group_IT_number 187
_space_group_name_Hall 'P -6 2'
_cell_length_a 4.6335
_cell_length_b 4.6335
_cell_length_c 3.3972
_cell_angle_alpha 90.00
_cell_angle_beta 90.00
_cell_angle_gamma 120.00
loop_
_atom_site_label
_atom_site_type_symbol
_atom_site_fract_x
_atom_site_fract_y
_atom_site_fract_z
_atom_site_occupancy
Ce1 Ce 0.0000 0.0000 0.0000 1
Cd1 Cd 0.3333 0.6667 0.5000 1
Ni1 Ni 0.6667 0.3333 0.5000 1
```

Calculated values
Total magnetization ... 0.011 μB/f.u.
Theoretical density ... 8.2 Mg/m³
Uncorrected energy ... -4.36 eV per atom
Crystal system ... hexagonal
DFT formation energy ... -149 meV per atom

=====

Entry 7:
Density functional theory data (PBE) for a geometry-optimized La4NiHI2 structure.

Cell and atoms, written as CIF:
```
data_La4NiHI2
_space_group_name_H-M_alt 'P 1 2/m 1'
_space_group_IT_number 10
_cell_length_a 7.024
_cell_length_b 4.091
_cell_length_c 8.432
_cell_angle_alpha 90.00
_cell_angle_beta 106.36
_cell_angle_gamma 90.00
loop_
_space_group_symop_operation_xyz
'x,y,z'
'-x,-y,-z'
'-x,y,-z'
'x,-y,z'
loop_
_atom_site_label
_atom_site_type_symbol
_atom_site_fract_x
_atom_site_fract_y
_atom_site_fract_z
_atom_site_occupancy
La1 La 0.226 0.000 0.191 1
La2 La 0.262 0.500 0.813 1
Ni1 Ni 0.500 0.000 0.000 1
H1 H 0.000 0.500 0.000 1
I1 I 0.000 0.000 0.500 1
I2 I 0.500 0.500 0.500 1
```

Calculated values
Total magnetization ... 0.004 μB/f.u.
Theoretical density ... 6.2 Mg/m³
Uncorrected energy ... -4.67 eV per atom
Crystal system ... monoclinic

=====

Entry 8:
Density functional theory data (PBE) for a geometry-optimized PmThI5 structure.

Cell and atoms, written as CIF:
```
data_PmThI5
_space_group_name_H-M_alt 'P 1 21/m 1'
_space_group_IT_number 11
_cell_length_a 9.720
_cell_length_b 4.102
_cell_length_c 15.556
_cell_angle_alpha 90.00
_cell_angle_beta 90.20
_cell_angle_gamma 90.00
loop_
_space_group_symop_operation_xyz
'x,y,z'
'-x,-y,-z'
'-x,y+1/2,-z'
'x,-y+1/2,z'
loop_
_atom_site_label
_atom_site_type_symbol
_atom_site_fract_x
_atom_site_fract_y
_atom_site_fract_z
_atom_site_occupancy
Pm1 Pm 0.135 0.250 0.320 1
Th1 Th 0.404 0.750 0.135 1
I1 I 0.100 0.250 0.716 1
I2 I 0.156 0.250 0.116 1
I3 I 0.208 0.750 0.463 1
I4 I 0.354 0.750 0.925 1
I5 I 0.460 0.250 0.289 1
```

Calculated values
Total magnetization ... 0.000 μB/f.u.
Formation energy without anion corrections ... -1.20 eV per atom
Theoretical density ... 5.4 Mg/m³
Uncorrected energy ... -4.04 eV per atom
Crystal system ... monoclinic

=====

Entry 9:
Density functional theory data (PBE) for a geometry-optimized CuAsN3 structure.

Cell and atoms, written as CIF:
```
data_CuAsN3
_space_group_name_H-M_alt 'P m -3 m'
_space_group_IT_number 221
_space_group_name_Hall '-P 4 2 3'
_cell_length_a 3.724
_cell_length_b 3.724
_cell_length_c 3.724
_cell_angle_alpha 90.00
_cell_angle_beta 90.00
_cell_angle_gamma 90.00
loop_
_atom_site_label
_atom_site_type_symbol
_atom_site_fract_x
_atom_site_fract_y
_atom_site_fract_z
_atom_site_occupancy
Cu1 Cu 0.000 0.000 0.000 1
As1 As 0.500 0.500 0.500 1
N1 N 0.000 0.500 0.500 1
```

Calculated values
Total magnetization ... 0.000 μB/f.u.
Formation energy without anion corrections ... 1.79 eV per atom
Theoretical density ... 5.8 Mg/m³
Uncorrected energy ... -4.95 eV per atom
Crystal system ... cubic

=====

Entry 10:
Density functional theory data (PBE) for a geometry-optimized CsTlSnPSe structure.

Cell and atoms, written as CIF:
```
data_CsTlSnPSe
_space_group_name_H-M_alt 'C 1 m 1'
_space_group_IT_number 8
_cell_length_a 15.894
_cell_length_b 4.050
_cell_length_c 5.287
_cell_angle_alpha 90.00
_cell_angle_beta 95.70
_cell_angle_gamma 90.00
loop_
_space_group_symop_operation_xyz
'x,y,z'
'x,-y,z'
'x+1/2,y+1/2,z'
'x+1/2,-y+1/2,z'
loop_
_atom_site_label
_atom_site_type_symbol
_atom_site_fract_x
_atom_site_fract_y
_atom_site_fract_z
_atom_site_occupancy
Cs1 Cs 0.000 0.000 0.000 1
Tl1 Tl 0.230 0.000 0.837 1
Sn1 Sn 0.277 0.500 0.309 1
P1 P 0.362 0.000 0.511 1
Se1 Se 0.128 0.500 0.497 1
```

Calculated values
Energy above the most stable polymorph in this dataset ... 0.00 eV per formula unit
Total magnetization ... 0.000 μB/f.u.
Formation energy without anion corrections ... -0.37 eV per atom
Theoretical density ... 5.5 Mg/m³
Uncorrected energy ... -3.59 eV per atom
Crystal system ... monoclinic

=====

Entry 11:
Density functional theory data (PBE) for a geometry-optimized Te3HOs structure.

Cell and atoms, written as CIF:
```
data_Te3HOs
_space_group_name_H-M_alt 'P m -3 m'
_space_group_IT_number 221
_space_group_name_Hall '-P 4 2 3'
_cell_length_a 5.294
_cell_length_b 5.294
_cell_length_c 5.294
_cell_angle_alpha 90.00
_cell_angle_beta 90.00
_cell_angle_gamma 90.00
loop_
_atom_site_label
_atom_site_type_symbol
_atom_site_fract_x
_atom_site_fract_y
_atom_site_fract_z
_atom_site_occupancy
Te1 Te 0.000 0.000 0.500 1
H1 H 0.500 0.500 0.500 1
Os1 Os 0.000 0.000 0.000 1
```

Calculated values
Energy above the most stable polymorph in this dataset ... 0.00 eV per formula unit
Total magnetization ... 0.268 μB/f.u.
Theoretical density ... 6.4 Mg/m³
Uncorrected energy ... -3.69 eV per atom
Crystal system ... cubic

=====

Entry 12:
Density functional theory data (PBE) for a geometry-optimized CaAgBi2 structure.

Cell and atoms, written as CIF:
```
data_CaAgBi2
_space_group_name_H-M_alt 'P 4/m m m'
_space_group_IT_number 123
_space_group_name_Hall '-P 4 2'
_cell_length_a 4.954
_cell_length_b 4.954
_cell_length_c 4.471
_cell_angle_alpha 90.00
_cell_angle_beta 90.00
_cell_angle_gamma 90.00
loop_
_atom_site_label
_atom_site_type_symbol
_atom_site_fract_x
_atom_site_fract_y
_atom_site_fract_z
_atom_site_occupancy
Ca1 Ca 0.000 0.000 0.000 1
Ag1 Ag 0.500 0.500 0.000 1
Bi1 Bi 0.000 0.500 0.500 1
```

Calculated values
Total magnetization ... 0.000 μB/f.u.
Theoretical density ... 8.6 Mg/m³
Uncorrected energy ... -3.50 eV per atom
Crystal system ... tetragonal
DFT formation energy ... -350 meV per atom